The following is a PBE with a Hubbard U calculation of crystalline MoPN2O at its relaxed geometry, from Alexandria via LeMat-Bulk.

Structure (POSCAR):
```
MoPN2O
1.0
-3.835 1.175 -0.600
-0.415 -2.824 -2.880
-1.168 -2.482 2.602
N P Mo O
2 1 1 1
direct
0.000 0.500 0.000
0.500 0.000 0.000
0.500 0.500 0.500
0.000 0.000 0.000
0.000 0.000 0.500
```

- M_tot (μB/f.u.) = 0.55
- raw total energy (eV/atom) = -6.040
- DOS(E_F) (states/eV/cell) = 1.84
- symmetry = P4/mmm (123)